1.
Computed, not measured: a geometry-optimized LaPtRh2 structure at the PBE level of DFT.

The structure belongs to space group I-4m2 (No. 119); the cell edges are 4.175, 4.175 and 8.387 Å and the angles 90.00°, 90.00° and 90.00°. The distinct sites, in fractional coordinates, are La at (0.000, 0.000, 0.000), Pt at (0.000, 0.500, 0.750), Rh at (0.000, 0.000, 0.500) and Rh at (0.000, 0.500, 0.250).

The value obtained for the energy of formation from the pure elements is -0.43 eV per atom. The calculation puts the total energy at -0.503 Ry per atom.

2.
Computed, not measured: a geometry-optimized Ag6Au5 structure at the PBE level of DFT.

The structure belongs to space group C2/m (No. 12); the cell edges are 8.315, 10.882 and 4.895 Å and the angles 90.00°, 112.01° and 90.00°. The distinct sites, in fractional coordinates, are Ag at (0.184, 0.000, 0.137), Ag at (0.186, 0.140, 0.634), Au at (0.000, 0.228, 0.000), Au at (0.000, 0.367, 0.500) and Au at (0.000, 0.500, 0.000).

The value obtained for the energy of formation from the pure elements is 0.02 eV per atom. The calculation puts the total energy at -0.222 Ry per atom.